Material: TcNiW2
Method: DFT, meta-GGA SCAN
State: PBEsol geometry

Lattice parameters (Å, degrees): 3.1603 3.1603 5.6216 90.00 90.00 90.00
With the nearest neighbours (Å) after each atom.
Element x y z (fractional)
Tc1 0.0000 0.0000 0.0000  5 W 2.58-2.65, 4 Ni 2.64
Ni1 0.5000 0.5000 0.7506  6 W 2.52-2.83, 4 Tc 2.64
W1 0.0000 0.0000 0.5418  4 Ni 2.52, 1 Tc 2.58, 4 W 2.76
W2 0.5000 0.5000 0.2531  4 Tc 2.65, 4 W 2.76, 2 Ni 2.80-2.83

Calculated values
ρ = 15.5 g cm⁻³
Calculated volume = 56.1 Å³ per cell
Energy relative to the elements = 101 meV per atom
Uncorrected energy = -47.55 eV/atom
Offset from the most stable computed form = 0.00 eV per formula unit